Material: ScCrMoC2
Method: DFT, PBE
State: relaxed

a = 6.274 Å, b = 6.274 Å, c = 8.392 Å
α = 129.16°, β = 129.16°, γ = 29.20°
Fractional coordinates of all 10 atoms:
Sc: 0.191 0.191 0.267
Sc: 0.809 0.809 0.733
Cr: 0.054 0.054 0.436
Cr: 0.946 0.946 0.564
Mo: 0.374 0.374 0.107
Mo: 0.626 0.626 0.893
C: 0.172 0.172 0.765
C: 0.395 0.395 0.631
C: 0.605 0.605 0.369
C: 0.828 0.828 0.235

- ΔH_f (0 K) (kJ/mol of formula units) = -104
- SG = C2/m (12)
- calculated density (g/cm³) = 5.90